Record 1
The following is a PBEsol calculation of an optimized crystal structure of CsSnI2N, from Alexandria.

Structure (CIF):
```
data_CsSnI2N
_cell_length_a 6.841
_cell_length_b 6.841
_cell_length_c 5.319
_cell_angle_alpha 90.00
_cell_angle_beta 90.00
_cell_angle_gamma 90.00
_space_group_name_H-M_alt 'P 1'
_space_group_IT_number 1
loop_
_space_group_symop_operation_xyz
'x,y,z'
loop_
_atom_site_label
_atom_site_fract_x
_atom_site_fract_y
_atom_site_fract_z
_atom_site_occupancy
Cs1 0.000 0.000 0.000 1
Sn1 0.500 0.500 0.500 1
I1 0.000 0.500 0.000 1
I2 0.500 0.000 0.000 1
N1 0.000 0.000 0.500 1
```

Results
Uncorrected formation energy = 1.00 eV/atom
Fermi-level density of states = 3.44 states/eV/cell

***

Record 2
The following is a PBEsol calculation of an optimized crystal structure of KHfAsBr2, from Alexandria.

Structure (CIF):
```
data_KHfAsBr2
_cell_length_a 5.351
_cell_length_b 5.351
_cell_length_c 5.117
_cell_angle_alpha 90.00
_cell_angle_beta 90.00
_cell_angle_gamma 90.00
_space_group_name_H-M_alt 'P 1'
_space_group_IT_number 1
loop_
_space_group_symop_operation_xyz
'x,y,z'
loop_
_atom_site_label
_atom_site_fract_x
_atom_site_fract_y
_atom_site_fract_z
_atom_site_occupancy
K1 0.000 0.000 0.000 1
Hf1 0.500 0.500 0.500 1
As1 0.500 0.500 0.000 1
Br1 0.000 0.500 0.500 1
Br2 0.500 0.000 0.500 1
```

Results
Uncorrected formation energy = -0.90 eV/atom
Fermi-level density of states = 1.57 states/eV/cell

***

Record 3
The following is a PBEsol calculation of an optimized crystal structure of CdFeSi2, from Alexandria.

Structure (CIF):
```
data_CdFeSi2
_cell_length_a 2.887
_cell_length_b 2.887
_cell_length_c 24.409
_cell_angle_alpha 90.00
_cell_angle_beta 90.00
_cell_angle_gamma 120.00
_space_group_name_H-M_alt 'P 1'
_space_group_IT_number 1
loop_
_space_group_symop_operation_xyz
'x,y,z'
loop_
_atom_site_label
_atom_site_fract_x
_atom_site_fract_y
_atom_site_fract_z
_atom_site_occupancy
Cd1 0.000 0.000 0.000 1
Cd2 0.333 0.667 0.667 1
Cd3 0.667 0.333 0.333 1
Fe1 0.000 0.000 0.244 1
Fe2 0.333 0.667 0.910 1
Fe3 0.667 0.333 0.577 1
Si1 0.000 0.000 0.514 1
Si2 0.000 0.000 0.766 1
Si3 0.333 0.667 0.180 1
Si4 0.333 0.667 0.432 1
Si5 0.667 0.333 0.099 1
Si6 0.667 0.333 0.847 1
```

Results
Uncorrected formation energy = 0.22 eV/atom
Fermi-level density of states = 6.76 states/eV/cell

***

Record 4
The following is a PBEsol calculation of an optimized crystal structure of TlCdI3, from Alexandria.

Structure (CIF):
```
data_TlCdI3
_cell_length_a 9.946
_cell_length_b 4.351
_cell_length_c 16.030
_cell_angle_alpha 90.00
_cell_angle_beta 90.00
_cell_angle_gamma 90.00
_space_group_name_H-M_alt 'P 1'
_space_group_IT_number 1
loop_
_space_group_symop_operation_xyz
'x,y,z'
loop_
_atom_site_label
_atom_site_fract_x
_atom_site_fract_y
_atom_site_fract_z
_atom_site_occupancy
Tl1 0.054 0.250 0.176 1
Tl2 0.446 0.750 0.676 1
Tl3 0.554 0.250 0.324 1
Tl4 0.946 0.750 0.824 1
Cd1 0.167 0.750 0.444 1
Cd2 0.333 0.250 0.944 1
Cd3 0.667 0.750 0.056 1
Cd4 0.833 0.250 0.556 1
I1 0.023 0.750 0.608 1
I2 0.160 0.750 0.010 1
I3 0.209 0.250 0.782 1
I4 0.291 0.750 0.282 1
I5 0.340 0.250 0.510 1
I6 0.477 0.250 0.108 1
I7 0.523 0.750 0.892 1
I8 0.660 0.750 0.490 1
I9 0.709 0.250 0.718 1
I10 0.791 0.750 0.218 1
I11 0.840 0.250 0.990 1
I12 0.977 0.250 0.392 1
```

Results
Energy relative to the lowest polymorph listed for this composition = 0 meV per atom
Uncorrected formation energy = -0.56 eV/atom
Fermi-level density of states = 0.00 states/eV/cell

***

Record 5
The following is a PBEsol calculation of an optimized crystal structure of Si5Hg4, from Alexandria.

Structure (CIF):
```
data_Si5Hg4
_cell_length_a 7.170
_cell_length_b 7.170
_cell_length_c 7.170
_cell_angle_alpha 93.50
_cell_angle_beta 93.50
_cell_angle_gamma 151.37
_space_group_name_H-M_alt 'P 1'
_space_group_IT_number 1
loop_
_space_group_symop_operation_xyz
'x,y,z'
loop_
_atom_site_label
_atom_site_fract_x
_atom_site_fract_y
_atom_site_fract_z
_atom_site_occupancy
Si1 0.000 0.000 0.000 1
Si2 0.317 0.317 0.634 1
Si3 0.317 0.683 0.000 1
Si4 0.683 0.317 0.000 1
Si5 0.683 0.683 0.366 1
Hg1 0.000 0.318 0.318 1
Hg2 0.000 0.682 0.682 1
Hg3 0.318 0.000 0.318 1
Hg4 0.682 0.000 0.682 1
```

Results
Uncorrected formation energy = 0.51 eV/atom
Fermi-level density of states = 4.01 states/eV/cell

***

Record 6
The following is a PBEsol calculation of an optimized crystal structure of Li2InGe2, from Alexandria.

Structure (CIF):
```
data_Li2InGe2
_cell_length_a 7.772
_cell_length_b 7.772
_cell_length_c 2.928
_cell_angle_alpha 90.00
_cell_angle_beta 90.00
_cell_angle_gamma 90.00
_space_group_name_H-M_alt 'P 1'
_space_group_IT_number 1
loop_
_space_group_symop_operation_xyz
'x,y,z'
loop_
_atom_site_label
_atom_site_fract_x
_atom_site_fract_y
_atom_site_fract_z
_atom_site_occupancy
Li1 0.185 0.315 0.000 1
Li2 0.315 0.815 0.000 1
Li3 0.685 0.185 0.000 1
Li4 0.815 0.685 0.000 1
In1 0.000 0.000 0.500 1
In2 0.500 0.500 0.500 1
Ge1 0.114 0.614 0.500 1
Ge2 0.386 0.114 0.500 1
Ge3 0.614 0.886 0.500 1
Ge4 0.886 0.386 0.500 1
```

Results
ΔE_f = -1.09 eV/f.u.
Fermi-level density of states = 2.25 states/eV/cell

***

Record 7
The following is a PBEsol calculation of an optimized crystal structure of LaBiPF2, from Alexandria.

Structure (CIF):
```
data_LaBiPF2
_cell_length_a 4.421
_cell_length_b 4.421
_cell_length_c 6.218
_cell_angle_alpha 90.00
_cell_angle_beta 90.00
_cell_angle_gamma 90.00
_space_group_name_H-M_alt 'P 1'
_space_group_IT_number 1
loop_
_space_group_symop_operation_xyz
'x,y,z'
loop_
_atom_site_label
_atom_site_fract_x
_atom_site_fract_y
_atom_site_fract_z
_atom_site_occupancy
La1 0.000 0.000 0.000 1
Bi1 0.500 0.500 0.500 1
P1 0.000 0.000 0.500 1
F1 0.000 0.500 0.000 1
F2 0.500 0.000 0.000 1
```

Results
Uncorrected formation energy = -2.02 eV/atom
Fermi-level density of states = 1.94 states/eV/cell

***

Record 8
The following is a PBEsol calculation of an optimized crystal structure of CsBa2Co2F9, from Alexandria.

Structure (CIF):
```
data_CsBa2Co2F9
_cell_length_a 7.771
_cell_length_b 7.771
_cell_length_c 7.771
_cell_angle_alpha 44.33
_cell_angle_beta 44.33
_cell_angle_gamma 44.33
_space_group_name_H-M_alt 'P 1'
_space_group_IT_number 1
loop_
_space_group_symop_operation_xyz
'x,y,z'
loop_
_atom_site_label
_atom_site_fract_x
_atom_site_fract_y
_atom_site_fract_z
_atom_site_occupancy
Cs1 0.000 0.000 0.000 1
Ba1 0.217 0.217 0.217 1
Ba2 0.425 0.425 0.425 1
Co1 0.611 0.611 0.611 1
Co2 0.825 0.825 0.825 1
F1 0.228 0.704 0.704 1
F2 0.441 0.950 0.950 1
F3 0.482 0.482 0.999 1
F4 0.482 0.999 0.482 1
F5 0.704 0.228 0.704 1
F6 0.704 0.704 0.228 1
F7 0.950 0.441 0.950 1
F8 0.950 0.950 0.441 1
F9 0.999 0.482 0.482 1
```

Results
Uncorrected formation energy = -2.76 eV/atom
Fermi-level density of states = 6.63 states/eV/cell

***

Record 9
The following is a PBEsol calculation of an optimized crystal structure of NaNiPb3, from Alexandria.

Structure (CIF):
```
data_NaNiPb3
_cell_length_a 5.290
_cell_length_b 5.290
_cell_length_c 5.290
_cell_angle_alpha 90.00
_cell_angle_beta 90.00
_cell_angle_gamma 90.00
_space_group_name_H-M_alt 'P 1'
_space_group_IT_number 1
loop_
_space_group_symop_operation_xyz
'x,y,z'
loop_
_atom_site_label
_atom_site_fract_x
_atom_site_fract_y
_atom_site_fract_z
_atom_site_occupancy
Na1 0.000 0.000 0.000 1
Ni1 0.500 0.500 0.500 1
Pb1 0.000 0.000 0.500 1
Pb2 0.000 0.500 0.000 1
Pb3 0.500 0.000 0.000 1
```

Results
ΔE_f = 5.71 eV/f.u.
Fermi-level density of states = 9.07 states/eV/cell

***

Record 10
The following is a PBEsol calculation of an optimized crystal structure of Cu2Au, from Alexandria.

Structure (CIF):
```
data_Cu2Au
_cell_length_a 5.798
_cell_length_b 5.798
_cell_length_c 5.798
_cell_angle_alpha 90.00
_cell_angle_beta 90.00
_cell_angle_gamma 90.00
_space_group_name_H-M_alt 'P 1'
_space_group_IT_number 1
loop_
_space_group_symop_operation_xyz
'x,y,z'
loop_
_atom_site_label
_atom_site_fract_x
_atom_site_fract_y
_atom_site_fract_z
_atom_site_occupancy
Cu1 0.250 0.250 0.250 1
Cu2 0.250 0.250 0.750 1
Cu3 0.250 0.750 0.250 1
Cu4 0.250 0.750 0.750 1
Cu5 0.750 0.250 0.250 1
Cu6 0.750 0.250 0.750 1
Cu7 0.750 0.750 0.250 1
Cu8 0.750 0.750 0.750 1
Au1 0.000 0.000 0.000 1
Au2 0.000 0.500 0.500 1
Au3 0.500 0.000 0.500 1
Au4 0.500 0.500 0.000 1
```

Results
Energy relative to the lowest polymorph listed for this composition = 387 meV per atom
ΔE_f = 1.04 eV/f.u.
Fermi-level density of states = 3.50 states/eV/cell